No. 1
{
  "formula": "CaOsC3",
  "functional": "meta-GGA SCAN",
  "state": "PBEsol geometry",
  "vol_a3_per_atom": 12.617,
  "ef_ev_per_atom": 1.131,
  "relative_energy_mev_per_atom": 0,
  "lattice_angstrom": [[3.981, 0.000, 0.000], [0.000, 3.981, 0.000], [0.000, 0.000, 3.981]],
  "species": ["Ca", "Os", "C", "C", "C"],
  "fractional_positions": [[0.000, 0.000, 0.000], [0.500, 0.500, 0.500], [0.000, 0.500, 0.500], [0.500, 0.000, 0.500], [0.500, 0.500, 0.000]]
}

***

No. 2
{
  "formula": "Ca3OsC",
  "functional": "meta-GGA SCAN",
  "state": "PBEsol geometry",
  "vol_a3_per_atom": 22.291,
  "ef_ev_per_atom": 0.791,
  "lattice_angstrom": [[4.812, 0.000, 0.000], [0.000, 4.812, 0.000], [0.000, 0.000, 4.812]],
  "species": ["Ca", "Ca", "Ca", "Os", "C"],
  "fractional_positions": [[0.000, 0.000, 0.500], [0.000, 0.500, 0.000], [0.500, 0.000, 0.000], [0.500, 0.500, 0.500], [0.000, 0.000, 0.000]]
}